(1)
# LaSm2Dy, relaxed, DFT PBE
data_LaSm2Dy
_chemical_formula_sum 'La1 Sm2 Dy1'
_cell_length_a 5.7966
_cell_length_b 5.7966
_cell_length_c 5.7966
_cell_angle_alpha 60.00
_cell_angle_beta 60.00
_cell_angle_gamma 60.00
_symmetry_space_group_name_H-M 'P 1'
_symmetry_Int_Tables_number 1
_symmetry_space_group_name_Hall 'P 1'
loop_
_atom_site_label
_atom_site_type_symbol
_atom_site_fract_x
_atom_site_fract_y
_atom_site_fract_z
La1 La 0.5000 0.5000 0.5000
Sm1 Sm 0.7500 0.7500 0.7500
Sm2 Sm 0.2500 0.2500 0.2500
Dy1 Dy 0.0000 0.0000 0.0000
# E above lowest polymorph (meV per atom): 130
# Magnetic moment (μB per atom): 0.273
# Calculated total energy (eV/atom): -4.59
# Formation energy (eV/f.u.): 0.60



(2)
# TbCu4Pt4, relaxed, DFT PBE
data_TbCu4Pt4
_chemical_formula_sum 'Tb2 Cu8 Pt8'
_cell_length_a 4.6107
_cell_length_b 7.9835
_cell_length_c 7.9835
_cell_angle_alpha 90.00
_cell_angle_beta 90.00
_cell_angle_gamma 90.00
_symmetry_space_group_name_H-M 'P 1'
_symmetry_Int_Tables_number 1
_symmetry_space_group_name_Hall 'P 1'
loop_
_atom_site_label
_atom_site_type_symbol
_atom_site_fract_x
_atom_site_fract_y
_atom_site_fract_z
Tb1 Tb 0.5000 0.5000 0.5000
Tb2 Tb 0.0000 0.0000 0.0000
Cu1 Cu 0.0023 0.7243 0.6224
Cu2 Cu 0.0023 0.2757 0.3776
Cu3 Cu 0.5023 0.1224 0.7757
Cu4 Cu 0.4977 0.7757 0.8776
Cu5 Cu 0.9977 0.6224 0.2757
Cu6 Cu 0.9977 0.3776 0.7243
Cu7 Cu 0.4977 0.2243 0.1224
Cu8 Cu 0.5023 0.8776 0.2243
Pt1 Pt 0.4973 0.4262 0.8525
Pt2 Pt 0.0027 0.9262 0.3525
Pt3 Pt 0.5027 0.1475 0.4262
Pt4 Pt 0.9973 0.3525 0.0738
Pt5 Pt 0.4973 0.5738 0.1475
Pt6 Pt 0.0027 0.0738 0.6475
Pt7 Pt 0.9973 0.6475 0.9262
Pt8 Pt 0.5027 0.8525 0.5738
# Magnetic moment (μB per atom): 0.000
# Calculated total energy (eV/atom): -5.22
# Formation energy (eV/f.u.): -1.77



(3)
# U3P2H, relaxed, DFT PBE
data_U3P2H
_chemical_formula_sum 'U6 P4 H2'
_cell_length_a 5.3751
_cell_length_b 7.5708
_cell_length_c 5.8546
_cell_angle_alpha 102.57
_cell_angle_beta 117.33
_cell_angle_gamma 90.00
_symmetry_space_group_name_H-M 'P 1'
_symmetry_Int_Tables_number 1
_symmetry_space_group_name_Hall 'P 1'
loop_
_atom_site_label
_atom_site_type_symbol
_atom_site_fract_x
_atom_site_fract_y
_atom_site_fract_z
P1 P 0.7233 0.5799 0.3761
P2 P 0.6528 0.0799 0.3761
P3 P 0.2767 0.4201 0.6239
P4 P 0.3472 0.9201 0.6239
U1 U 0.6117 0.2500 0.0000
U2 U 0.3883 0.7500 0.0000
U3 U 0.9237 0.8925 0.7738
U4 U 0.1500 0.6075 0.2262
U5 U 0.0763 0.1075 0.2262
U6 U 0.8500 0.3925 0.7738
H1 H 0.7981 0.7500 0.0000
H2 H 0.2019 0.2500 0.0000
# Magnetic moment (μB per atom): 0.000
# Calculated total energy (eV/atom): -8.60



(4)
# VFe4Ni, relaxed, DFT PBE
data_VFe4Ni
_chemical_formula_sum 'V1 Fe4 Ni1'
_cell_length_a 4.6265
_cell_length_b 4.6265
_cell_length_c 4.6265
_cell_angle_alpha 60.00
_cell_angle_beta 60.00
_cell_angle_gamma 60.00
_symmetry_space_group_name_H-M 'P 1'
_symmetry_Int_Tables_number 1
_symmetry_space_group_name_Hall 'P 1'
loop_
_atom_site_label
_atom_site_type_symbol
_atom_site_fract_x
_atom_site_fract_y
_atom_site_fract_z
Fe1 Fe 0.6256 0.6256 0.6256
Fe2 Fe 0.6256 0.6256 0.1231
Fe3 Fe 0.6256 0.1231 0.6256
Fe4 Fe 0.1231 0.6256 0.6256
V1 V 0.2500 0.2500 0.2500
Ni1 Ni 0.0000 0.0000 0.0000
# E above lowest polymorph (meV per atom): 0
# Magnetic moment (μB per atom): 0.947
# Calculated total energy (eV/atom): -8.11
# Formation energy (eV/f.u.): 0.07